VASP calculation (PBE) on an optimized crystal structure of GaOsRuF2.

Output
Total moment: 0.4 μB/cell
DFT total energy: -27.859 eV for the cell shown
Space group: P4/mmm (123)
Uncorrected formation energy: -0.117 eV/atom

abc: 3.9500 4.9801 3.9500
angles: 90.00 90.00 90.00
Each line ends with the local moment (μB).
Positions (direct):
F: 0.5000 0.0000 0.0000  -0.01
F: 0.0000 0.0000 0.5000  -0.01
Ga: 0.5000 0.5000 0.5000  -0.01
Os: 0.0000 0.5000 0.0000  0.54
Ru: 0.0000 0.0000 0.0000  -0.12